! CsSb2C (PBE-GGA, relaxed); values from VASP
&SYSTEM
  ibrav = 0, nat = 8, ntyp = 3
/
ATOMIC_SPECIES
Cs 132.91 Cs.upf
Sb 121.76 Sb.upf
C 12.01 C.upf
CELL_PARAMETERS angstrom
-3.809 3.809 4.285
3.809 -3.809 4.285
3.809 3.809 -4.285
ATOMIC_POSITIONS crystal
Cs 0.000 0.000 0.000
Cs 0.750 0.250 0.500
Sb 0.273 0.625 0.148
Sb 0.375 0.523 0.648
Sb 0.477 0.125 0.852
Sb 0.875 0.727 0.352
C 0.250 0.750 0.500
C 0.500 0.500 0.000
! **Calculated total energy**: -3.85 eV per atom
! **DOS at the Fermi energy**: 0.38 states/eV per atom